# 1
VASP calculation (PBE) on NdHo2ScBi4 after structural relaxation.

Output
SG: P2/m (10)
ΔH_f (0 K), eV/f.u.: -6.4

Lattice parameters (Å, degrees): 4.461 7.715 7.725 109.49 90.00 90.00
Atoms (fractional coordinates):
Bi: 0.000 0.262 0.755
Nd: 0.000 0.000 0.000
Bi: 0.500 0.739 0.748
Bi: 0.500 0.261 0.252
Bi: 0.000 0.738 0.245
Ho: 0.500 0.000 0.500
Sc: 0.500 0.500 0.000
Ho: 0.000 0.500 0.500


# 2
VASP calculation (PBE) on NdHoBiSe after structural relaxation.

Output
SG: R3m (160)
Formation energy without anion corrections, meV/atom: -1221

Lattice parameters (Å, degrees): 4.234 4.234 8.007 90.00 105.33 120.00
Site moments in Bohr magnetons follow the coordinates.
Atoms (fractional coordinates):
Ho: 0.298 0.547 0.861  0.05
Se: 0.480 0.138 0.633  0.00
Bi: 0.127 0.961 0.103  0.00
Nd: 0.973 0.384 0.372  0.21


# 3
VASP calculation (PBE) on NdSm2HoBi5 after structural relaxation.

Output
SG: P4/mmm (123)
ΔH_f (0 K), eV/f.u.: 0.4

Lattice parameters (Å, degrees): 5.566 5.566 11.920 90.00 90.00 90.00
Atoms (fractional coordinates):
Bi: 0.000 0.000 0.243
Bi: 0.000 0.000 0.757
Sm: 0.500 0.500 0.726
Bi: 0.500 0.000 0.500
Sm: 0.500 0.500 0.274
Nd: 0.000 0.000 0.500
Bi: 0.500 0.500 0.000
Bi: 0.000 0.500 0.500
Ho: 0.000 0.000 0.000


# 4
VASP calculation (PBE) on Nd2SmHoBi5 after structural relaxation.

Output
SG: P4/mmm (123)
ΔH_f (0 K), eV/f.u.: -0.5

Lattice parameters (Å, degrees): 5.522 5.522 11.929 90.00 90.00 90.00
Atoms (fractional coordinates):
Nd: 0.500 0.500 0.276
Bi: 0.500 0.000 0.500
Bi: 0.000 0.000 0.756
Bi: 0.000 0.500 0.500
Ho: 0.000 0.000 0.000
Nd: 0.500 0.500 0.724
Sm: 0.000 0.000 0.500
Bi: 0.000 0.000 0.244
Bi: 0.500 0.500 0.000


# 5
VASP calculation (PBE) on Tb3Nd2HoBi6 after structural relaxation.

Output
SG: C2/m (12)
ΔH_f (0 K), eV/f.u.: -10.7

Lattice parameters (Å, degrees): 4.528 9.053 10.119 102.89 102.93 90.00
Atoms (fractional coordinates):
Ho: 0.500 0.000 0.000
Bi: 0.997 0.247 0.995
Bi: 0.003 0.753 0.005
Nd: 0.166 0.332 0.332
Bi: 0.335 0.923 0.669
Tb: 0.500 0.500 0.000
Bi: 0.665 0.077 0.331
Bi: 0.665 0.587 0.330
Tb: 0.832 0.166 0.664
Nd: 0.834 0.668 0.668
Tb: 0.168 0.834 0.336
Bi: 0.335 0.413 0.670


# 6
VASP calculation (PBE) on TbNd2HoBi5 after structural relaxation.

Output
SG: P4/mmm (123)
ΔH_f (0 K), eV/f.u.: -1.2

Lattice parameters (Å, degrees): 5.414 5.414 11.954 90.00 90.00 90.00
Atoms (fractional coordinates):
Ho: 0.000 0.000 0.500
Bi: 0.500 0.500 0.000
Nd: 0.500 0.500 0.274
Bi: 0.000 0.500 0.500
Tb: 0.000 0.000 0.000
Nd: 0.500 0.500 0.726
Bi: 0.500 0.000 0.500
Bi: 0.000 0.000 0.247
Bi: 0.000 0.000 0.753


# 7
VASP calculation (PBE) on TbNdHo2Bi4 after structural relaxation.

Output
SG: P2/m (10)
ΔH_f (0 K), eV/f.u.: -7.0

Lattice parameters (Å, degrees): 4.511 7.803 7.806 70.52 90.00 90.00
Atoms (fractional coordinates):
Ho: 0.000 0.000 0.000
Bi: 0.000 0.243 0.256
Ho: 0.500 0.000 0.500
Bi: 0.000 0.757 0.744
Bi: 0.500 0.245 0.748
Nd: 0.500 0.500 0.000
Tb: 0.000 0.500 0.500
Bi: 0.500 0.755 0.252


# 8
VASP calculation (PBE) on TbNd2Ho3Bi6 after structural relaxation.

Output
SG: C2/m (12)
ΔH_f (0 K), eV/f.u.: -10.5

Lattice parameters (Å, degrees): 4.518 9.030 10.094 102.83 102.93 90.00
Atoms (fractional coordinates):
Bi: 0.665 0.589 0.329
Nd: 0.834 0.667 0.668
Bi: 0.003 0.750 0.006
Ho: 0.168 0.834 0.336
Bi: 0.997 0.250 0.994
Bi: 0.333 0.924 0.667
Ho: 0.500 0.500 0.000
Nd: 0.166 0.333 0.332
Ho: 0.832 0.166 0.664
Bi: 0.667 0.076 0.333
Bi: 0.335 0.411 0.671
Tb: 0.500 0.000 0.000


| no. | magnetic moment (Bohr magnetons per cell) |
| --- | --- |
| 1 | 0.00 |
| 2 | 0.58 |
| 3 | 0.00 |
| 4 | 0.00 |
| 5 | 0.00 |
| 6 | 0.00 |
| 7 | 0.00 |
| 8 | 0.00 |